Density functional theory data (meta-GGA SCAN) for a PBEsol-optimized structure of LaTaTiNb2.

- density (kg/m³) = 8127
- space-group type = No. 123
- energy of formation (eV per atom) = 1.913

Cell: 4.8107 4.8107 4.8869 Å, 90.00 90.00 90.00°
With the nearest neighbours (Å) after each atom.
Positions (direct):
La (0.0000, 0.0000, 0.0000)  4 Nb 2.41, 2 Ta 2.44
Ta (0.0000, 0.0000, 0.5000)  2 La 2.44
Ti (0.5000, 0.5000, 0.5000)  4 Ta 3.40, 8 Nb 3.43
Nb (0.0000, 0.5000, 0.0000)  2 La 2.41
Nb (0.5000, 0.0000, 0.0000)  2 La 2.41

***

Density functional theory data (meta-GGA SCAN) for a PBEsol-optimized structure of La2NbTc.

- density (kg/m³) = 8695
- space-group type = No. 225
- energy of formation (eV per atom) = 0.555

Cell: 5.0212 5.0212 5.0212 Å, 60.00 60.00 60.00°
With the nearest neighbours (Å) after each atom.
Positions (direct):
La (0.2500, 0.2500, 0.2500)  4 Tc 3.07, 4 Nb 3.07
La (0.7500, 0.7500, 0.7500)  4 Tc 3.07, 4 Nb 3.07
Nb (0.0000, 0.0000, 0.0000)  8 La 3.07
Tc (0.5000, 0.5000, 0.5000)  8 La 3.07

***

Density functional theory data (meta-GGA SCAN) for a PBEsol-optimized structure of La2Nb2Tc.

- density (kg/m³) = 8151
- space-group type = No. 139
- energy of formation (eV per atom) = 1.168

Cell: 8.1065 8.1065 8.1065 Å, 152.36 152.36 39.48°
With the nearest neighbours (Å) after each atom.
Positions (direct):
La (0.2500, 0.7500, 0.5000)  4 La 2.74
La (0.7500, 0.2500, 0.5000)  4 La 2.74
Nb (0.0739, 0.0739, 0.0000)  1 Nb 2.26
Nb (0.9261, 0.9261, 0.0000)  1 Nb 2.26
Tc (0.5000, 0.5000, 0.0000)  8 Nb 2.96

***

Density functional theory data (meta-GGA SCAN) for a PBEsol-optimized structure of LaNbW3.

- density (kg/m³) = 11448
- space-group type = No. 221
- energy of formation (eV per atom) = 1.763

Cell: 4.8435 4.8435 4.8435 Å, 90.00 90.00 90.00°
With the nearest neighbours (Å) after each atom.
Positions (direct):
La (0.0000, 0.0000, 0.0000)  12 W 3.42
Nb (0.5000, 0.5000, 0.5000)  6 W 2.42
W (0.0000, 0.5000, 0.5000)  2 Nb 2.42
W (0.5000, 0.0000, 0.5000)  2 Nb 2.42
W (0.5000, 0.5000, 0.0000)  2 Nb 2.42